Below is a relaxed NaThReN4 crystal, with properties calculated at the PBE level.

Computed properties:
- space-group type = P2_1/m (11)
- DOS(E_F) (states/eV/f.u.) = 0.000
- raw formation energy (eV per atom) = -0.6980
- size of the total moment (μB/cell) = 0.0
- crystal system = monoclinic

Lattice parameters (Å, degrees): 6.370 5.959 7.261 90.00 87.19 90.00
Fractional coordinates of all 14 atoms:
N 0.556 0.250 0.434
Re 0.324 0.750 0.347
N 0.863 0.487 0.663
Na 0.389 0.250 0.136
N 0.444 0.750 0.566
Th 0.183 0.250 0.583
N 0.863 0.013 0.663
N 0.137 0.987 0.337
N 0.446 0.250 0.812
Th 0.817 0.750 0.417
Re 0.676 0.250 0.653
Na 0.611 0.750 0.864
N 0.137 0.513 0.337
N 0.554 0.750 0.188

=====

Below is a relaxed Na2TiReN4 crystal, with properties calculated at the PBE level.

Computed properties:
- space-group type = Pmn2_1 (31)
- DOS(E_F) (states/eV/f.u.) = 3.632
- raw formation energy (eV per atom) = -0.5372
- size of the total moment (μB/cell) = 0.0
- crystal system = orthorhombic

Lattice parameters (Å, degrees): 5.600 6.508 6.567 90.00 90.00 90.00
Fractional coordinates of all 16 atoms:
N 0.325 0.103 0.000
N 0.825 0.897 0.500
Ti 0.496 0.850 0.000
N 0.334 0.090 0.500
N 0.937 0.298 0.241
Na 0.486 0.334 0.749
N 0.937 0.298 0.759
Na 0.986 0.666 0.751
Na 0.486 0.334 0.251
Re 0.001 0.153 0.000
Na 0.986 0.666 0.249
Re 0.501 0.847 0.500
N 0.834 0.910 0.000
N 0.437 0.702 0.741
N 0.437 0.702 0.259
Ti 0.996 0.150 0.500

=====

Below is a relaxed NaTmRe2N6 crystal, with properties calculated at the PBE level.

Computed properties:
- space-group type = C2/c (15)
- raw formation energy (eV per atom) = -0.3913
- size of the total moment (μB/cell) = 0.0
- crystal system = monoclinic

Lattice parameters (Å, degrees): 6.292 7.487 7.487 82.21 73.39 73.39
Fractional coordinates of all 20 atoms:
N 0.651 0.143 0.621
Re 0.803 0.618 0.794
N 0.685 0.749 0.997
N 0.609 0.679 0.624
Na 0.750 0.084 0.916
Na 0.250 0.916 0.084
Re 0.697 0.206 0.382
Re 0.197 0.382 0.206
Tm 0.250 0.283 0.717
N 0.815 0.003 0.251
N 0.891 0.376 0.321
N 0.109 0.624 0.679
N 0.349 0.857 0.379
Tm 0.750 0.717 0.283
Re 0.303 0.794 0.618
N 0.185 0.997 0.749
N 0.151 0.621 0.143
N 0.849 0.379 0.857
N 0.315 0.251 0.003
N 0.391 0.321 0.376

=====

Below is a relaxed Na2UReN4 crystal, with properties calculated at the PBE level.

Computed properties:
- space-group type = I-4 (82)
- DOS(E_F) (states/eV/f.u.) = 7.333
- raw formation energy (eV per atom) = -0.4174
- size of the total moment (μB/cell) = 3.0
- crystal system = tetragonal

Lattice parameters (Å, degrees): 6.078 6.078 6.078 77.91 127.21 127.21
Fractional coordinates of all 8 atoms:
Na 0.500 0.750 0.250
U 0.500 0.250 0.750
Na 0.000 0.000 0.000
Re 0.000 0.500 0.500
N 0.398 0.836 0.787
N 0.602 0.389 0.438
N 0.049 0.213 0.611
N 0.951 0.562 0.164